# 1
Here is an optimized crystal structure of Rb2LiHgBr6 from OQMD via LeMat-Bulk. Energies are from PBE-GGA.

Values from the calculation:
Energy, eV for the cell shown: -24.705
Calculated volume, Å³/atom: 32.83
Space-group type: C2/m

a = 7.742 Å, b = 7.742 Å, c = 7.744 Å
α = 119.98°, β = 119.98°, γ = 60.01°
Sites, in units of the cell vectors:
Rb (0.750, 0.750, 0.750)
Rb (0.250, 0.250, 0.250)
Br (0.251, 0.745, 0.244)
Br (0.749, 0.255, 0.756)
Br (0.747, 0.747, 0.251)
Br (0.253, 0.253, 0.749)
Br (0.255, 0.749, 0.756)
Br (0.745, 0.251, 0.244)
Li (0.500, 0.500, 0.000)
Hg (0.000, 0.000, 0.500)

=====

# 2
Here is an optimized crystal structure of Rb2LiHgBr6 from OQMD via LeMat-Bulk. Energies are from PBE-GGA.

Values from the calculation:
Energy, eV for the cell shown: -24.706
Calculated volume, Å³/atom: 32.83
Space-group type: I4/m

a = 7.744 Å, b = 7.744 Å, c = 7.744 Å
α = 120.01°, β = 120.01°, γ = 89.98°
Sites, in units of the cell vectors:
Br (0.249, 0.258, 0.507)
Br (0.751, 0.742, 0.493)
Br (0.747, 0.747, 0.000)
Br (0.253, 0.253, 0.000)
Br (0.742, 0.249, 0.991)
Br (0.258, 0.751, 0.009)
Rb (0.250, 0.750, 0.500)
Rb (0.750, 0.250, 0.500)
Hg (0.000, 0.000, 0.000)
Li (0.500, 0.500, 0.000)

=====

# 3
Here is an optimized crystal structure of Rb2MgHgBr6 from OQMD via LeMat-Bulk. Energies are from PBE-GGA.

Values from the calculation:
Energy, eV for the cell shown: -26.114
Calculated volume, Å³/atom: 32.98
Space-group type: Fm-3m

a = 7.755 Å, b = 7.755 Å, c = 7.755 Å
α = 60.00°, β = 60.00°, γ = 60.00°
Sites, in units of the cell vectors:
Br (0.757, 0.243, 0.757)
Br (0.243, 0.757, 0.243)
Br (0.243, 0.757, 0.757)
Br (0.757, 0.243, 0.243)
Br (0.757, 0.757, 0.243)
Br (0.243, 0.243, 0.757)
Mg (0.000, 0.000, 0.000)
Hg (0.500, 0.500, 0.500)
Rb (0.250, 0.250, 0.250)
Rb (0.750, 0.750, 0.750)

=====

# 4
Here is an optimized crystal structure of HgMo3Br from OQMD via LeMat-Bulk. Energies are from PBE-GGA.

Values from the calculation:
Energy, eV for the cell shown: -59.674
Calculated volume, Å³/atom: 17.84
Space-group type: Imma
Total magnetic moment, μB/f.u.: 0.01

a = 6.409 Å, b = 6.409 Å, c = 6.409 Å
α = 131.57°, β = 105.32°, γ = 94.14°
Sites, in units of the cell vectors:
Mo (0.182, 0.000, 0.682)
Mo (0.818, 0.000, 0.318)
Mo (0.182, 0.500, 0.182)
Mo (0.818, 0.500, 0.818)
Mo (0.559, 0.309, 0.250)
Mo (0.441, 0.691, 0.750)
Br (0.500, 0.500, 0.000)
Br (0.000, 0.500, 0.500)
Hg (0.750, 0.000, 0.750)
Hg (0.250, 0.000, 0.250)